A PBEsol-optimized structure of Li3TlTc, computed with meta-GGA SCAN.

Cell lengths 4.764, 4.764, 4.764 Å; angles 90.00, 90.00, 90.00 degrees
Each line ends with the local moment (μB).
Atoms (fractional coordinates):
Tl: 0.000 0.000 0.000  -0.11
Tc: 0.500 0.500 0.500  3.78
Li: 0.000 0.500 0.000  -0.02
Li: 0.000 0.000 0.500  -0.02
Li: 0.500 0.000 0.000  -0.02

Summary:
The value obtained for the uncorrected energy is -22.03 eV/atom. The calculation puts the density of states at the Fermi level at 3.51 states/eV per cell. As for the calculated formation energy: 886 meV per atom. The symmetry is No. 221.

A PBEsol-optimized structure of LiTlTc, computed with meta-GGA SCAN.

Cell lengths 2.763, 4.238, 4.927 Å; angles 115.47, 106.28, 90.00 degrees
Atoms (fractional coordinates):
Li: 0.002 0.002 0.004
Tc: 0.665 0.665 0.331
Tl: 0.333 0.333 0.665

Summary:
The value obtained for the uncorrected energy is -36.09 eV/atom. As for the excess energy over the best structure of this formula in the dataset: 0 meV per atom. The calculation puts the density of states at the Fermi level at 2.63 states/eV per cell. As for the calculated formation energy: 511 meV per atom. The symmetry is No. 44.